Entry 1:
Entry from Alexandria: a relaxed structure of Tm6IrRh5 (PBE).

Cell lengths 7.5290, 7.5290, 6.8061 Å; angles 90.00, 90.00, 143.16 degrees
Sites, in units of the cell vectors:
Tm (0.0000, 0.0000, 0.2490)
Tm (0.0000, 0.0000, 0.7510)
Tm (0.3340, 0.6660, 0.2498)
Tm (0.3340, 0.6660, 0.7502)
Tm (0.6660, 0.3340, 0.2498)
Tm (0.6660, 0.3340, 0.7502)
Ir (0.5000, 0.5000, 0.0000)
Rh (0.1667, 0.8333, 0.5000)
Rh (0.1679, 0.8320, 0.0000)
Rh (0.5000, 0.5000, 0.5000)
Rh (0.8320, 0.1679, 0.0000)
Rh (0.8333, 0.1667, 0.5000)

Values from the calculation:
As for the formation energy: -0.9705 eV per atom. As for the spin magnetization: 0.000 μB per cell. The space group is No. 65. The electronic total energy comes out at -84.093 eV per cell.

Entry 2:
Entry from Alexandria: a relaxed structure of NdSm4Al (PBE).

Cell lengths 3.6254, 3.6254, 14.2764 Å; angles 90.00, 90.00, 90.00 degrees
Sites, in units of the cell vectors:
Nd (0.0000, 0.0000, 0.0000)
Sm (0.0000, 0.0000, 0.3661)
Sm (0.0000, 0.0000, 0.6339)
Sm (0.5000, 0.5000, 0.1826)
Sm (0.5000, 0.5000, 0.8174)
Al (0.5000, 0.5000, 0.5000)

Values from the calculation:
As for the formation energy: -0.1011 eV per atom. As for the spin magnetization: 0.000 μB per cell. The space group is No. 123. The electronic total energy comes out at -27.994 eV per cell. As for the polymorph energy (0 for the lowest one): 0.0 kJ per mole of atoms.

Entry 3:
Entry from Alexandria: a relaxed structure of TlCd9In2 (PBE).

Cell lengths 4.4772, 4.4772, 14.5903 Å; angles 90.00, 90.00, 90.00 degrees
Sites, in units of the cell vectors:
Tl (0.0000, 0.0000, 0.0000)
Cd (0.0000, 0.5000, 0.1709)
Cd (0.0000, 0.5000, 0.5000)
Cd (0.0000, 0.5000, 0.8291)
Cd (0.5000, 0.0000, 0.1709)
Cd (0.5000, 0.0000, 0.5000)
Cd (0.5000, 0.0000, 0.8291)
Cd (0.5000, 0.5000, 0.0000)
Cd (0.5000, 0.5000, 0.3358)
Cd (0.5000, 0.5000, 0.6642)
In (0.0000, 0.0000, 0.3355)
In (0.0000, 0.0000, 0.6645)

Values from the calculation:
As for the formation energy: 0.0468 eV per atom. As for the spin magnetization: 0.000 μB per cell. The space group is No. 123. The electronic total energy comes out at -15.518 eV per cell.

Entry 4:
Entry from Alexandria: a relaxed structure of Y3TmIr2 (PBE).

Cell lengths 4.2586, 4.6676, 14.7724 Å; angles 90.00, 90.00, 90.00 degrees
Sites, in units of the cell vectors:
Y (0.0000, 0.0000, 0.0000)
Y (0.0000, 0.5000, 0.3149)
Y (0.0000, 0.5000, 0.6851)
Y (0.5000, 0.0000, 0.1851)
Y (0.5000, 0.0000, 0.8149)
Y (0.5000, 0.5000, 0.5000)
Tm (0.0000, 0.0000, 0.5000)
Tm (0.5000, 0.5000, 0.0000)
Ir (0.0000, 0.5000, 0.1277)
Ir (0.0000, 0.5000, 0.8723)
Ir (0.5000, 0.0000, 0.3723)
Ir (0.5000, 0.0000, 0.6277)

Values from the calculation:
As for the formation energy: -0.5853 eV per atom. As for the spin magnetization: 0.000 μB per cell. The space group is No. 71. The electronic total energy comes out at -90.196 eV per cell. As for the polymorph energy (0 for the lowest one): 4.6 kJ per mole of atoms.

Entry 5:
Entry from Alexandria: a relaxed structure of ZrTiW (PBE).

Cell lengths 6.4840, 5.6037, 5.1792 Å; angles 73.81, 56.10, 50.09 degrees
Sites, in units of the cell vectors:
Zr (0.1770, 0.8230, 0.1770)
Zr (0.8230, 0.1770, 0.8230)
Ti (0.3338, 0.3338, 0.6662)
Ti (0.6662, 0.6662, 0.3338)
W (0.2500, 0.2500, 0.2500)
W (0.7500, 0.7500, 0.7500)

Values from the calculation:
As for the formation energy: 0.2561 eV per atom. As for the spin magnetization: 0.000 μB per cell. The space group is No. 69. The electronic total energy comes out at -57.256 eV per cell. As for the polymorph energy (0 for the lowest one): 26.6 kJ per mole of atoms.

Entry 6:
Entry from Alexandria: a relaxed structure of CsMgGe3 (PBE).

Cell lengths 5.3084, 5.3084, 5.3084 Å; angles 90.00, 90.00, 90.00 degrees
Sites, in units of the cell vectors:
Cs (0.0000, 0.0000, 0.0000)
Mg (0.5000, 0.5000, 0.5000)
Ge (0.0000, 0.5000, 0.5000)
Ge (0.5000, 0.0000, 0.5000)
Ge (0.5000, 0.5000, 0.0000)

Values from the calculation:
As for the formation energy: 0.5219 eV per atom. As for the spin magnetization: 0.000 μB per cell. The space group is No. 221. The electronic total energy comes out at -13.691 eV per cell. As for the polymorph energy (0 for the lowest one): 0.0 kJ per mole of atoms.

Entry 7:
Entry from Alexandria: a relaxed structure of Mg3CdAu (PBE).

Cell lengths 6.7457, 6.7457, 6.7457 Å; angles 90.00, 90.00, 90.00 degrees
Sites, in units of the cell vectors:
Mg (0.0000, 0.0000, 0.0000)
Mg (0.2714, 0.2714, 0.2714)
Mg (0.2714, 0.2714, 0.7286)
Mg (0.2714, 0.7286, 0.2714)
Mg (0.2714, 0.7286, 0.7286)
Mg (0.7286, 0.2714, 0.2714)
Mg (0.7286, 0.2714, 0.7286)
Mg (0.7286, 0.7286, 0.2714)
Mg (0.7286, 0.7286, 0.7286)
Cd (0.0000, 0.0000, 0.5000)
Cd (0.0000, 0.5000, 0.0000)
Cd (0.5000, 0.0000, 0.0000)
Au (0.0000, 0.5000, 0.5000)
Au (0.5000, 0.0000, 0.5000)
Au (0.5000, 0.5000, 0.0000)

Values from the calculation:
As for the formation energy: -0.3202 eV per atom. As for the spin magnetization: 0.000 μB per cell. The space group is No. 221. The electronic total energy comes out at -31.732 eV per cell. As for the polymorph energy (0 for the lowest one): 0.0 kJ per mole of atoms.

Entry 8:
Entry from Alexandria: a relaxed structure of Ta2MnMo (PBE).

Cell lengths 2.8364, 4.4124, 5.1612 Å; angles 90.00, 101.03, 90.00 degrees
Sites, in units of the cell vectors:
Ta (0.0000, 0.0000, 0.0000)
Ta (0.2786, 0.5000, 0.7331)
Mn (0.7633, 0.5000, 0.2357)
Mo (0.5205, 0.0000, 0.4883)

Values from the calculation:
As for the formation energy: 0.0029 eV per atom. As for the spin magnetization: 0.072 μB per cell. The space group is No. 6. The electronic total energy comes out at -43.694 eV per cell.

Entry 9:
Entry from Alexandria: a relaxed structure of MgTa3Cr (PBE).

Cell lengths 4.6596, 4.6596, 4.6596 Å; angles 90.00, 90.00, 90.00 degrees
Sites, in units of the cell vectors:
Mg (0.0000, 0.0000, 0.0000)
Ta (0.0000, 0.5000, 0.5000)
Ta (0.5000, 0.0000, 0.5000)
Ta (0.5000, 0.5000, 0.0000)
Cr (0.5000, 0.5000, 0.5000)

Values from the calculation:
As for the formation energy: 0.9032 eV per atom. As for the spin magnetization: 0.000 μB per cell. The space group is No. 221. The electronic total energy comes out at -42.260 eV per cell. As for the polymorph energy (0 for the lowest one): 0.0 kJ per mole of atoms.

Entry 10:
Entry from Alexandria: a relaxed structure of Ni3TeCl (PBE).

Cell lengths 4.8121, 4.8121, 4.8121 Å; angles 90.00, 90.00, 90.00 degrees
Sites, in units of the cell vectors:
Ni (0.0000, 0.0000, 0.5000)
Ni (0.0000, 0.5000, 0.0000)
Ni (0.5000, 0.0000, 0.0000)
Te (0.0000, 0.0000, 0.0000)
Cl (0.5000, 0.5000, 0.5000)

Values from the calculation:
For the formation energy without anion corrections, the calculation gives 0.73 eV/atom. As for the spin magnetization: 3.000 μB per cell. The space group is No. 221. The electronic total energy comes out at -18.688 eV per cell. As for the polymorph energy (0 for the lowest one): 21.0 kJ per mole of atoms.

Entry 11:
Entry from Alexandria: a relaxed structure of LaSm2Pd2 (PBE).

Cell lengths 5.5730, 4.7947, 10.6570 Å; angles 90.00, 97.46, 90.00 degrees
Sites, in units of the cell vectors:
La (0.0810, 0.2500, 0.2816)
La (0.9190, 0.7500, 0.7184)
Sm (0.2740, 0.7500, 0.0289)
Sm (0.3807, 0.2500, 0.6171)
Sm (0.6193, 0.7500, 0.3829)
Sm (0.7260, 0.2500, 0.9711)
Pd (0.1537, 0.7500, 0.4779)
Pd (0.1923, 0.2500, 0.8672)
Pd (0.8077, 0.7500, 0.1328)
Pd (0.8463, 0.2500, 0.5221)

Values from the calculation:
As for the formation energy: -0.6157 eV per atom. As for the spin magnetization: 0.000 μB per cell. The space group is No. 11. The electronic total energy comes out at -55.660 eV per cell. As for the polymorph energy (0 for the lowest one): 1.7 kJ per mole of atoms.

Entry 12:
Entry from Alexandria: a relaxed structure of CoTe4Ir (PBE).

Cell lengths 7.2974, 7.2974, 7.2974 Å; angles 108.12, 108.12, 112.21 degrees
Sites, in units of the cell vectors:
Co (0.0000, 0.0000, 0.0000)
Co (0.7500, 0.2500, 0.5000)
Te (0.1864, 0.4945, 0.6919)
Te (0.2445, 0.0526, 0.8081)
Te (0.2445, 0.4364, 0.1919)
Te (0.3160, 0.0125, 0.3035)
Te (0.7090, 0.0125, 0.6965)
Te (0.7625, 0.5660, 0.8035)
Te (0.7625, 0.9590, 0.1965)
Te (0.8026, 0.4945, 0.3081)
Ir (0.2556, 0.7556, 0.5000)
Ir (0.5056, 0.5056, 0.0000)

Values from the calculation:
For the formation energy without anion corrections, the calculation gives 0.00 eV/atom. As for the spin magnetization: 2.376 μB per cell. The space group is No. 109. The electronic total energy comes out at -57.068 eV per cell. As for the polymorph energy (0 for the lowest one): 21.0 kJ per mole of atoms.